Entry 1:
Below is an optimized crystal structure of VPtO2F, with properties calculated at the GGA+U level.

Results
- raw total energy (eV/f.u.) = -28.58
- total moment (μB/atom) = 0.000

Cell and atoms, written as POSCAR:
```
VPtO2F
1.0
3.829 0.000 0.000
0.000 3.829 0.000
0.000 0.000 3.934
V Pt O F
1 1 2 1
direct
0.000 0.000 0.000
0.500 0.500 0.500
0.000 0.500 0.000
0.500 0.000 0.000
0.000 0.000 0.500
```


Entry 2:
Below is an optimized crystal structure of PtWOF2, with properties calculated at the GGA+U level.

Results
- raw total energy (eV/f.u.) = -22.52
- total moment (μB/atom) = 0.716

Cell and atoms, written as POSCAR:
```
PtWOF2
1.0
3.857 0.000 0.000
0.000 3.857 0.000
0.000 0.000 5.785
Pt W O F
1 1 1 2
direct
0.000 0.000 0.000
0.000 0.000 0.500
0.500 0.500 0.500
0.000 0.500 0.000
0.500 0.000 0.000
```


Please write out number 1 again, unchanged.
Below is an optimized crystal structure of VPtO2F, with properties calculated at the GGA+U level.

Results
- raw total energy (eV/f.u.) = -28.58
- total moment (μB/atom) = 0.000

Cell and atoms, written as POSCAR:
```
VPtO2F
1.0
3.829 0.000 0.000
0.000 3.829 0.000
0.000 0.000 3.934
V Pt O F
1 1 2 1
direct
0.000 0.000 0.000
0.500 0.500 0.500
0.000 0.500 0.000
0.500 0.000 0.000
0.000 0.000 0.500
```


Question: Which of these has the highest raw total energy?
Answer: PtWOF2